Computed, not measured: TlIr2Br after structural relaxation at the PBE-GGA level of DFT.

Total magnetic moment: 0.000 μB/atom
Crystal system: orthorhombic
Energy relative to the elements, uncorrected: 301 kJ/mol of formula units
VASP energy: -4.66 eV per atom

Structure (POSCAR):
```
TlIr2Br
1.0
-2.506 3.470 -5.111
-6.021 2.616 -1.160
5.660 -0.777 3.435
Ir Tl Br
2 1 1
direct
0.766 0.266 0.500
0.946 0.946 0.000
0.536 0.536 0.000
0.252 0.752 0.500
```



Computed, not measured: Tl2IrBr after structural relaxation at the PBE-GGA level of DFT.

Total magnetic moment: 0.000 μB/atom
Crystal system: orthorhombic
Energy relative to the elements, uncorrected: 111 kJ/mol of formula units
VASP energy: -3.53 eV per atom

Structure (POSCAR):
```
Tl2IrBr
1.0
-1.004 1.445 2.907
-3.253 -0.750 -0.635
0.887 -7.094 3.833
Br Tl Ir
1 2 1
direct
0.500 0.500 0.250
0.000 0.000 0.963
0.000 0.000 0.537
0.500 0.500 0.750
```



Computed, not measured: TlIr2Br after structural relaxation at the PBE-GGA level of DFT.

Total magnetic moment: 0.000 μB/atom
Crystal system: orthorhombic
Energy relative to the elements, uncorrected: 350 kJ/mol of formula units
VASP energy: -4.53 eV per atom

Structure (POSCAR):
```
TlIr2Br
1.0
-1.390 -2.659 -0.760
0.691 0.707 2.933
-8.155 3.990 0.959
Ir Tl Br
2 1 1
direct
0.000 0.000 0.996
0.000 0.000 0.504
0.500 0.500 0.250
0.500 0.500 0.750
```



Computed, not measured: TlIrBr2 after structural relaxation at the PBE-GGA level of DFT.

Total magnetic moment: 0.000 μB/atom
Crystal system: orthorhombic
Energy relative to the elements, uncorrected: 34 kJ/mol of formula units
VASP energy: -3.56 eV per atom

Structure (POSCAR):
```
TlIrBr2
1.0
-1.077 2.962 -3.043
-2.539 -4.135 -3.127
-5.452 -1.893 0.087
Br Ir Tl
2 1 1
direct
0.500 0.346 0.346
0.000 0.968 0.968
0.000 0.521 0.521
0.500 0.664 0.665
```



Computed, not measured: Tl2IrBr after structural relaxation at the PBE-GGA level of DFT.

Total magnetic moment: 0.000 μB/atom
Crystal system: monoclinic
Energy relative to the elements, uncorrected: 142 kJ/mol of formula units
VASP energy: -3.45 eV per atom

Structure (POSCAR):
```
Tl2IrBr
1.0
5.365 -0.016 -0.037
-5.055 6.041 0.074
0.302 1.478 2.884
Tl Br Ir
2 1 1
direct
0.000 0.000 0.000
0.000 0.500 0.500
0.500 0.500 0.000
0.500 0.000 0.500
```



Computed, not measured: Tl4IrBr6 after structural relaxation at the PBE-GGA level of DFT.

Total magnetic moment: 0.090 μB/atom
Crystal system: tetragonal
Energy relative to the elements, uncorrected: -573 kJ/mol of formula units
VASP energy: -3.12 eV per atom

Structure (POSCAR):
```
Tl4IrBr6
1.0
-3.112 6.084 -5.568
4.256 -3.913 -6.654
-7.539 -5.376 -1.661
Tl Br Ir
8 12 2
direct
0.348 0.152 0.250
0.652 0.848 0.750
0.848 0.348 0.750
0.152 0.652 0.250
0.848 0.348 0.250
0.348 0.152 0.750
0.652 0.848 0.250
0.152 0.652 0.750
0.000 0.000 0.233
0.500 0.500 0.733
0.722 0.126 0.500
0.626 0.222 0.000
0.874 0.722 0.500
0.222 0.374 0.000
0.278 0.874 0.500
0.778 0.626 0.000
0.000 0.000 0.767
0.126 0.278 0.500
0.500 0.500 0.267
0.374 0.778 0.000
0.000 0.000 0.500
0.500 0.500 0.000
```



Computed, not measured: TlIr2Br after structural relaxation at the PBE-GGA level of DFT.

Total magnetic moment: 0.000 μB/atom
Crystal system: tetragonal
Energy relative to the elements, uncorrected: 417 kJ/mol of formula units
VASP energy: -4.36 eV per atom

Structure (POSCAR):
```
TlIr2Br
1.0
3.753 0.000 0.000
0.000 4.397 0.000
0.000 0.000 4.397
Br Tl Ir
1 1 2
direct
0.500 0.000 0.500
0.500 0.500 0.000
0.000 0.500 0.500
0.000 0.000 0.000
```



Computed, not measured: TlIrBr2 after structural relaxation at the PBE-GGA level of DFT.

Total magnetic moment: 0.000 μB/atom
Crystal system: tetragonal
Energy relative to the elements, uncorrected: 120 kJ/mol of formula units
VASP energy: -3.33 eV per atom

Structure (POSCAR):
```
TlIrBr2
1.0
-5.749 -1.463 -1.503
2.065 -3.173 -4.808
-1.405 -8.259 0.954
Tl Br Ir
2 4 2
direct
0.000 0.000 0.000
0.750 0.250 0.500
0.875 0.759 0.750
0.509 0.125 0.250
0.375 0.491 0.750
0.241 0.625 0.250
0.250 0.750 0.500
0.500 0.500 0.000
```



Computed, not measured: Tl2IrBr after structural relaxation at the PBE-GGA level of DFT.

Total magnetic moment: 0.000 μB/atom
Crystal system: trigonal
Energy relative to the elements, uncorrected: 87 kJ/mol of formula units
VASP energy: -3.59 eV per atom

Structure (POSCAR):
```
Tl2IrBr
1.0
-6.719 -1.860 -3.388
-4.433 -5.276 -3.550
-6.444 -4.309 -0.094
Ir Tl Br
1 2 1
direct
0.750 0.750 0.750
0.019 0.019 0.019
0.481 0.481 0.481
0.250 0.250 0.250
```



Computed, not measured: Tl2IrBr after structural relaxation at the PBE-GGA level of DFT.

Total magnetic moment: 0.000 μB/atom
Crystal system: monoclinic
Energy relative to the elements, uncorrected: 80 kJ/mol of formula units
VASP energy: -3.61 eV per atom

Structure (POSCAR):
```
Tl2IrBr
1.0
8.286 -0.004 -0.054
7.584 3.338 -0.054
0.023 0.005 3.952
Tl Ir Br
2 1 1
direct
0.269 0.269 0.377
0.068 0.068 0.874
0.713 0.713 0.876
0.451 0.451 0.373
```



Computed, not measured: Tl2IrBr after structural relaxation at the PBE-GGA level of DFT.

Total magnetic moment: 0.109 μB/atom
Crystal system: orthorhombic
Energy relative to the elements, uncorrected: 80 kJ/mol of formula units
VASP energy: -3.61 eV per atom

Structure (POSCAR):
```
Tl2IrBr
1.0
3.494 0.000 0.000
0.000 4.140 0.000
0.000 0.000 7.946
Tl Ir Br
2 1 1
direct
0.500 0.500 0.258
0.000 0.000 0.865
0.500 0.500 0.914
0.000 0.000 0.463
```



Computed, not measured: TlIrWBr2 after structural relaxation at the PBE-GGA level of DFT.

Total magnetic moment: 0.387 μB/atom
Crystal system: tetragonal
Energy relative to the elements, uncorrected: 705 kJ/mol of formula units
VASP energy: -4.04 eV per atom

Structure (POSCAR):
```
TlIrWBr2
1.0
-1.362 -1.243 4.471
5.640 -0.549 1.565
0.087 4.652 1.319
Ir W Tl Br
1 1 1 2
direct
0.500 0.500 0.500
0.000 0.000 0.000
0.000 0.500 0.000
0.500 0.000 0.000
0.000 0.000 0.500
```



Computed, not measured: TmIrBr after structural relaxation at the PBE-GGA level of DFT.

Total magnetic moment: 0.000 μB/atom
Crystal system: monoclinic
Energy relative to the elements, uncorrected: -356 kJ/mol of formula units
VASP energy: -6.23 eV per atom

Structure (POSCAR):
```
TmIrBr
1.0
4.253 0.000 0.000
2.126 3.662 0.413
2.126 -0.118 10.836
Ir Tm Br
2 2 2
direct
0.665 0.665 0.005
0.335 0.335 0.995
0.058 0.049 0.835
0.942 0.951 0.165
0.217 0.236 0.330
0.783 0.764 0.670
```



Computed, not measured: Tm3IrBr3 after structural relaxation at the PBE-GGA level of DFT.

Total magnetic moment: 0.000 μB/atom
Crystal system: monoclinic
Energy relative to the elements, uncorrected: -939 kJ/mol of formula units
VASP energy: -5.29 eV per atom

Structure (POSCAR):
```
Tm3IrBr3
1.0
-2.748 -2.953 0.752
1.870 0.365 8.266
-8.368 8.115 1.281
Tm Ir Br
6 2 6
direct
0.750 0.740 0.403
0.750 0.152 0.361
0.750 0.097 0.823
0.250 0.260 0.597
0.250 0.903 0.177
0.250 0.848 0.639
0.250 0.951 0.405
0.750 0.049 0.595
0.250 0.331 0.855
0.250 0.435 0.369
0.750 0.130 0.100
0.750 0.565 0.631
0.250 0.870 0.900
0.750 0.669 0.145
```



Computed, not measured: VIr2Br after structural relaxation at the PBE-GGA level of DFT.

Total magnetic moment: 0.000 μB/atom
Crystal system: tetragonal
Energy relative to the elements, uncorrected: 301 kJ/mol of formula units
VASP energy: -6.35 eV per atom

Structure (POSCAR):
```
VIr2Br
1.0
6.033 0.000 0.000
0.000 6.033 0.000
3.017 3.017 4.741
Ir Br V
4 2 2
direct
0.597 0.125 0.250
0.875 0.847 0.750
0.153 0.625 0.250
0.375 0.403 0.750
0.750 0.250 0.500
0.000 0.000 0.000
0.500 0.500 0.000
0.250 0.750 0.500
```



Computed, not measured: V2IrBr after structural relaxation at the PBE-GGA level of DFT.

Total magnetic moment: 0.000 μB/atom
Crystal system: cubic
Energy relative to the elements, uncorrected: 167 kJ/mol of formula units
VASP energy: -6.76 eV per atom

Structure (POSCAR):
```
V2IrBr
1.0
0.000 3.108 3.108
3.108 0.000 3.108
3.108 3.108 0.000
V Br Ir
2 1 1
direct
0.250 0.250 0.250
0.750 0.750 0.750
0.000 0.000 0.000
0.500 0.500 0.500
```



Computed, not measured: V3IrBr after structural relaxation at the PBE-GGA level of DFT.

Total magnetic moment: 1.278 μB/atom
Crystal system: cubic
Energy relative to the elements, uncorrected: 441 kJ/mol of formula units
VASP energy: -6.66 eV per atom

Structure (POSCAR):
```
V3IrBr
1.0
-3.250 -2.535 -2.476
1.306 -3.980 2.360
-3.294 0.923 3.379
V Ir Br
3 1 1
direct
0.500 0.000 0.000
0.000 0.000 0.500
0.000 0.500 0.000
0.000 0.000 0.000
0.500 0.500 0.500
```



Computed, not measured: VIr2Br after structural relaxation at the PBE-GGA level of DFT.

Total magnetic moment: 0.039 μB/atom
Crystal system: cubic
Energy relative to the elements, uncorrected: 329 kJ/mol of formula units
VASP energy: -6.28 eV per atom

Structure (POSCAR):
```
VIr2Br
1.0
0.000 3.174 3.174
3.174 0.000 3.174
3.174 3.174 0.000
V Ir Br
1 2 1
direct
0.000 0.000 0.000
0.750 0.750 0.750
0.250 0.250 0.250
0.500 0.500 0.500
```



Computed, not measured: V2IrBr after structural relaxation at the PBE-GGA level of DFT.

Total magnetic moment: 0.849 μB/atom
Crystal system: tetragonal
Energy relative to the elements, uncorrected: 194 kJ/mol of formula units
VASP energy: -6.69 eV per atom

Structure (POSCAR):
```
V2IrBr
1.0
5.851 0.000 0.000
0.000 5.851 0.000
2.926 2.926 5.317
V Ir Br
4 2 2
direct
0.875 0.903 0.750
0.097 0.625 0.250
0.653 0.125 0.250
0.375 0.347 0.750
0.750 0.250 0.500
0.000 0.000 0.000
0.500 0.500 0.000
0.250 0.750 0.500
```



Computed, not measured: IrWBr after structural relaxation at the PBE-GGA level of DFT.

Total magnetic moment: 0.000 μB/atom
Crystal system: orthorhombic
Energy relative to the elements, uncorrected: 222 kJ/mol of formula units
VASP energy: -7.06 eV per atom

Structure (POSCAR):
```
IrWBr
1.0
-1.726 6.884 -3.356
-3.010 4.853 -4.985
-1.561 1.475 1.952
W Ir Br
1 1 1
direct
0.671 0.671 0.329
0.315 0.315 0.685
0.014 0.014 0.986
```



Computed, not measured: IrWBr after structural relaxation at the PBE-GGA level of DFT.

Total magnetic moment: 0.000 μB/atom
Crystal system: trigonal
Energy relative to the elements, uncorrected: 142 kJ/mol of formula units
VASP energy: -7.34 eV per atom

Structure (POSCAR):
```
IrWBr
1.0
2.975 0.000 0.000
-1.487 2.576 0.000
0.000 0.000 6.801
Ir W Br
1 1 1
direct
0.667 0.333 0.367
0.333 0.667 0.665
0.000 0.000 0.968
```



Computed, not measured: IrWBr after structural relaxation at the PBE-GGA level of DFT.

Total magnetic moment: 0.000 μB/atom
Crystal system: cubic
Energy relative to the elements, uncorrected: 262 kJ/mol of formula units
VASP energy: -6.92 eV per atom

Structure (POSCAR):
```
IrWBr
1.0
4.343 0.000 0.000
2.171 3.761 0.000
2.171 1.254 3.546
Br Ir W
1 1 1
direct
0.000 0.000 0.000
0.500 0.500 0.500
0.750 0.750 0.750
```



Computed, not measured: IrWBr4 after structural relaxation at the PBE-GGA level of DFT.

Total magnetic moment: 0.312 μB/atom
Crystal system: cubic
Energy relative to the elements, uncorrected: 1242 kJ/mol of formula units
VASP energy: -2.61 eV per atom

Structure (POSCAR):
```
IrWBr4
1.0
0.000 4.168 4.168
4.168 0.000 4.168
4.168 4.168 0.000
Ir Br W
1 4 1
direct
0.750 0.750 0.750
0.375 0.375 0.875
0.375 0.375 0.375
0.875 0.375 0.375
0.375 0.875 0.375
0.000 0.000 0.000
```



Computed, not measured: IrWBr after structural relaxation at the PBE-GGA level of DFT.

Total magnetic moment: 0.000 μB/atom
Crystal system: cubic
Energy relative to the elements, uncorrected: 370 kJ/mol of formula units
VASP energy: -6.55 eV per atom

Structure (POSCAR):
```
IrWBr
1.0
4.390 0.000 0.000
2.195 3.802 0.000
2.195 1.267 3.585
Br Ir W
1 1 1
direct
0.500 0.500 0.500
0.750 0.750 0.750
0.000 0.000 0.000
```



Computed, not measured: IrWBr after structural relaxation at the PBE-GGA level of DFT.

Total magnetic moment: 0.000 μB/atom
Crystal system: tetragonal
Energy relative to the elements, uncorrected: 129 kJ/mol of formula units
VASP energy: -7.38 eV per atom

Structure (POSCAR):
```
IrWBr
1.0
7.075 0.138 0.000
5.748 4.128 0.000
-6.412 -2.133 2.102
Br Ir W
1 1 1
direct
0.038 0.038 0.000
0.289 0.289 0.000
0.673 0.673 0.000
```



Computed, not measured: IrWBr3 after structural relaxation at the PBE-GGA level of DFT.

Total magnetic moment: 0.887 μB/atom
Crystal system: cubic
Energy relative to the elements, uncorrected: 678 kJ/mol of formula units
VASP energy: -3.96 eV per atom

Structure (POSCAR):
```
IrWBr3
1.0
5.066 0.000 0.000
0.000 5.066 0.000
0.000 0.000 5.066
Br Ir W
3 1 1
direct
0.000 0.000 0.500
0.000 0.500 0.000
0.500 0.000 0.000
0.000 0.000 0.000
0.500 0.500 0.500
```



Computed, not measured: IrWBr after structural relaxation at the PBE-GGA level of DFT.

Total magnetic moment: 0.000 μB/atom
Crystal system: hexagonal
Energy relative to the elements, uncorrected: 273 kJ/mol of formula units
VASP energy: -6.89 eV per atom

Structure (POSCAR):
```
IrWBr
1.0
-0.842 3.105 -3.029
-3.295 -1.677 2.420
0.421 2.077 2.012
W Br Ir
1 1 1
direct
0.333 0.667 0.834
0.000 0.000 0.833
0.667 0.333 0.333
```



Computed, not measured: YIrBr3 after structural relaxation at the PBE-GGA level of DFT.

Total magnetic moment: 0.600 μB/atom
Crystal system: cubic
Energy relative to the elements, uncorrected: -1 kJ/mol of formula units
VASP energy: -4.07 eV per atom

Structure (POSCAR):
```
YIrBr3
1.0
5.571 0.000 0.000
0.000 5.571 0.000
0.000 0.000 5.571
Br Ir Y
3 1 1
direct
0.500 0.000 0.000
0.000 0.500 0.000
0.000 0.000 0.500
0.500 0.500 0.500
0.000 0.000 0.000
```